First-principles (PBE) data for a geometry-optimized BaCuSeBr2 structure, as listed in Alexandria.

Lattice parameters (Å, degrees): 5.1336 5.1336 5.0993 90.00 90.00 90.00
Atoms (fractional coordinates):
1 Cu 0.0000 0.0000 0.0000
2 Se 0.0000 0.0000 0.5000
3 Ba 0.5000 0.5000 0.5000
4 Br 0.0000 0.5000 0.0000
5 Br 0.5000 0.0000 0.0000

Properties
N(E_F) = 3.7 states/eV per cell
E_form (uncorrected) = -1.0704 eV/atom